Record 1
! MnP2SeS GGA-PBE relaxed; values from VASP
! Total moment = 0.02 μB per atom
! ρ = 3.7 g/cm³
! ΔE_f (raw) = 1.56 eV per atom
! D(E_F) = 0.929 states/eV/atom
! SG = No. 123
! Offset from the most stable computed form = 1133 meV/atom
&SYSTEM
  ibrav = 0, nat = 5, ntyp = 4
/
ATOMIC_SPECIES
Mn 54.94 Mn.upf
P 30.97 P.upf
Se 78.96 Se.upf
S 32.06 S.upf
ATOMIC_POSITIONS crystal
Mn 0.000 0.000 0.000
P 0.000 0.500 0.500
P 0.500 0.000 0.500
Se 0.500 0.500 0.500
S 0.500 0.500 0.000
CELL_PARAMETERS angstrom
4.714 0.000 0.000
0.000 4.714 0.000
0.000 0.000 4.642

Record 2
! Ti6Nb2Tl GGA-PBE relaxed; values from VASP
! Total moment = 0.01 μB per atom
! ρ = 6.5 g/cm³
! D(E_F) = 1.637 states/eV/atom
! SG = No. 71
! ΔH_f (0 K) = 0.307 eV per atom
&SYSTEM
  ibrav = 0, nat = 18, ntyp = 3
/
ATOMIC_SPECIES
Ti 47.87 Ti.upf
Nb 92.91 Nb.upf
Tl 204.38 Tl.upf
ATOMIC_POSITIONS crystal
Ti 0.047 0.249 0.797
Ti 0.159 0.448 0.289
Ti 0.159 0.870 0.711
Ti 0.299 0.199 0.497
Ti 0.299 0.801 0.100
Ti 0.452 0.249 0.203
Ti 0.548 0.751 0.797
Ti 0.701 0.199 0.900
Ti 0.701 0.801 0.503
Ti 0.841 0.130 0.289
Ti 0.841 0.552 0.711
Ti 0.953 0.751 0.203
Nb 0.169 0.500 0.669
Nb 0.359 0.859 0.500
Nb 0.641 0.141 0.500
Nb 0.831 0.500 0.331
Tl 0.000 0.000 0.000
Tl 0.500 0.500 0.000
CELL_PARAMETERS angstrom
-4.103 4.318 4.891
4.103 -4.318 4.891
4.103 4.318 -4.891

Record 3
! CeThOs GGA-PBE relaxed; values from VASP
! Total moment = 0.00 μB per atom
! ρ = 13.4 g/cm³
! D(E_F) = 1.002 states/eV/atom
! SG = No. 107
! Offset from the most stable computed form = 127 meV/atom
! ΔH_f (0 K) = -0.115 eV per atom
&SYSTEM
  ibrav = 0, nat = 3, ntyp = 3
/
ATOMIC_SPECIES
Ce 140.12 Ce.upf
Th 232.04 Th.upf
Os 190.23 Os.upf
ATOMIC_POSITIONS crystal
Ce 0.000 0.000 0.000
Th 0.692 0.692 0.000
Os 0.347 0.347 0.000
CELL_PARAMETERS angstrom
-1.815 1.815 5.279
1.815 -1.815 5.279
1.815 1.815 -5.279

Record 4
! Ga2CuGeO6 GGA-PBE relaxed; values from VASP
! Total moment = 0.10 μB per atom
! ρ = 6.1 g/cm³
! ΔE_f (raw) = -1.44 eV per atom
! D(E_F) = 0.526 states/eV/atom
! SG = No. 146
&SYSTEM
  ibrav = 0, nat = 10, ntyp = 4
/
ATOMIC_SPECIES
Ga 69.72 Ga.upf
Cu 63.55 Cu.upf
Ge 72.64 Ge.upf
O 16.00 O.upf
ATOMIC_POSITIONS crystal
Ga 0.000 0.000 0.000
Ga 0.495 0.495 0.495
Cu 0.282 0.282 0.282
Ge 0.794 0.794 0.794
O 0.072 0.407 0.708
O 0.187 0.875 0.605
O 0.407 0.708 0.072
O 0.605 0.187 0.875
O 0.708 0.072 0.407
O 0.875 0.605 0.187
CELL_PARAMETERS angstrom
2.529 1.460 4.556
-2.529 1.460 4.556
0.000 -2.920 4.556

Record 5
! Nd5Sn3 GGA-PBE relaxed; values from VASP
! Total moment = 0.00 μB per atom
! ρ = 7.0 g/cm³
! D(E_F) = 1.070 states/eV/atom
! SG = No. 193
! Offset from the most stable computed form = 0 meV/atom
! ΔH_f (0 K) = -0.692 eV per atom
&SYSTEM
  ibrav = 0, nat = 16, ntyp = 2
/
ATOMIC_SPECIES
Nd 144.24 Nd.upf
Sn 118.71 Sn.upf
ATOMIC_POSITIONS crystal
Nd 0.000 0.242 0.250
Nd 0.000 0.758 0.750
Nd 0.242 0.000 0.250
Nd 0.242 0.242 0.750
Nd 0.333 0.667 0.000
Nd 0.333 0.667 0.500
Nd 0.667 0.333 0.000
Nd 0.667 0.333 0.500
Nd 0.758 0.000 0.750
Nd 0.758 0.758 0.250
Sn 0.000 0.394 0.750
Sn 0.000 0.606 0.250
Sn 0.394 0.000 0.750
Sn 0.394 0.394 0.250
Sn 0.606 0.000 0.250
Sn 0.606 0.606 0.750
CELL_PARAMETERS angstrom
9.309 0.000 0.000
-4.655 8.062 0.000
0.000 0.000 6.838

Record 6
! Ni4IrRh GGA-PBE relaxed; values from VASP
! Total moment = 0.61 μB per atom
! ρ = 8.7 g/cm³
! D(E_F) = 1.757 states/eV/atom
! SG = No. 65
! Offset from the most stable computed form = 985 meV/atom
! ΔH_f (0 K) = 1.092 eV per atom
&SYSTEM
  ibrav = 0, nat = 6, ntyp = 3
/
ATOMIC_SPECIES
Ni 58.69 Ni.upf
Ir 192.22 Ir.upf
Rh 102.91 Rh.upf
ATOMIC_POSITIONS crystal
Ni 0.173 0.827 0.000
Ni 0.329 0.329 0.500
Ni 0.671 0.671 0.500
Ni 0.827 0.173 0.000
Ir 0.500 0.500 0.000
Rh 0.000 0.000 0.500
CELL_PARAMETERS angstrom
3.484 -3.501 0.000
3.484 3.501 0.000
0.000 0.000 4.158

Record 7
! GeBMo GGA-PBE relaxed; values from VASP
! Total moment = 0.00 μB per atom
! ρ = 7.7 g/cm³
! D(E_F) = 0.499 states/eV/atom
! SG = No. 62
! ΔH_f (0 K) = 0.458 eV per atom
&SYSTEM
  ibrav = 0, nat = 12, ntyp = 3
/
ATOMIC_SPECIES
Ge 72.64 Ge.upf
B 10.81 B.upf
Mo 95.94 Mo.upf
ATOMIC_POSITIONS crystal
Ge 0.000 0.250 0.250
Ge 0.000 0.750 0.750
Ge 0.500 0.250 0.250
Ge 0.500 0.750 0.750
B 0.176 0.250 0.748
B 0.324 0.750 0.248
B 0.676 0.250 0.752
B 0.824 0.750 0.252
Mo 0.161 0.750 0.249
Mo 0.339 0.250 0.749
Mo 0.661 0.750 0.251
Mo 0.839 0.250 0.751
CELL_PARAMETERS angstrom
13.261 0.000 0.000
0.000 3.414 0.000
0.000 0.000 3.416

Record 8
! Na4SnHg GGA-PBE relaxed; values from VASP
! Total moment = 0.00 μB per atom
! ρ = 3.8 g/cm³
! D(E_F) = 0.392 states/eV/atom
! SG = No. 12
! Offset from the most stable computed form = 18 meV/atom
! ΔH_f (0 K) = -0.133 eV per atom
&SYSTEM
  ibrav = 0, nat = 12, ntyp = 3
/
ATOMIC_SPECIES
Na 22.99 Na.upf
Sn 118.71 Sn.upf
Hg 200.59 Hg.upf
ATOMIC_POSITIONS crystal
Na 0.091 0.620 0.356
Na 0.177 0.823 0.000
Na 0.316 0.316 0.817
Na 0.380 0.909 0.644
Na 0.620 0.091 0.356
Na 0.684 0.684 0.183
Na 0.823 0.177 0.000
Na 0.909 0.380 0.644
Sn 0.189 0.189 0.190
Sn 0.811 0.811 0.810
Hg 0.500 0.500 0.256
Hg 0.500 0.500 0.744
CELL_PARAMETERS angstrom
8.262 -4.011 0.000
8.262 4.011 0.000
-2.039 0.000 5.476

Record 9
! Ca2Cd3Cu GGA-PBE relaxed; values from VASP
! Total moment = 0.00 μB per atom
! ρ = 5.3 g/cm³
! D(E_F) = 0.609 states/eV/atom
! SG = No. 25
! ΔH_f (0 K) = -0.245 eV per atom
&SYSTEM
  ibrav = 0, nat = 6, ntyp = 3
/
ATOMIC_SPECIES
Ca 40.08 Ca.upf
Cd 112.41 Cd.upf
Cu 63.55 Cu.upf
ATOMIC_POSITIONS crystal
Ca 0.000 0.000 0.000
Ca 0.000 0.500 0.460
Cd 0.500 0.000 0.627
Cd 0.500 0.500 0.153
Cd 0.500 0.500 0.812
Cu 0.500 0.000 0.309
CELL_PARAMETERS angstrom
3.693 0.000 0.000
0.000 4.797 0.000
0.000 0.000 8.512

Record 10
! LiYAs2 GGA-PBE relaxed; values from VASP
! Total moment = 0.00 μB per atom
! ρ = 4.7 g/cm³
! D(E_F) = 0.098 states/eV/atom
! SG = No. 8
! Offset from the most stable computed form = 0 meV/atom
! ΔH_f (0 K) = -0.851 eV per atom
&SYSTEM
  ibrav = 0, nat = 4, ntyp = 3
/
ATOMIC_SPECIES
Li 6.94 Li.upf
Y 88.91 Y.upf
As 74.92 As.upf
ATOMIC_POSITIONS crystal
Li 0.000 0.000 0.000
Y 0.254 0.254 0.638
As 0.548 0.548 0.656
As 0.765 0.765 0.130
CELL_PARAMETERS angstrom
5.203 -2.032 0.000
5.203 2.032 0.000
-1.143 0.000 4.102

Record 11
! Ac2PmPd GGA-PBE relaxed; values from VASP
! Total moment = 0.00 μB per atom
! ρ = 8.0 g/cm³
! D(E_F) = 1.200 states/eV/atom
! SG = No. 160
! Offset from the most stable computed form = 115 meV/atom
! ΔH_f (0 K) = -0.276 eV per atom
&SYSTEM
  ibrav = 0, nat = 4, ntyp = 3
/
ATOMIC_SPECIES
Ac 227.00 Ac.upf
Pm 145.00 Pm.upf
Pd 106.42 Pd.upf
ATOMIC_POSITIONS crystal
Ac 0.000 0.000 0.000
Ac 0.204 0.204 0.204
Pm 0.435 0.435 0.435
Pd 0.602 0.602 0.602
CELL_PARAMETERS angstrom
2.064 1.192 9.893
-2.064 1.192 9.893
0.000 -2.384 9.893

Record 12
! GeSbPb2S5 GGA-PBE relaxed; values from VASP
! Total moment = 0.00 μB per atom
! ρ = 5.6 g/cm³
! ΔE_f (raw) = -0.36 eV per atom
! D(E_F) = 0.051 states/eV/atom
! SG = No. 36
&SYSTEM
  ibrav = 0, nat = 18, ntyp = 4
/
ATOMIC_SPECIES
Ge 72.64 Ge.upf
Sb 121.76 Sb.upf
Pb 207.20 Pb.upf
S 32.06 S.upf
ATOMIC_POSITIONS crystal
Ge 0.046 0.954 0.500
Ge 0.954 0.046 0.000
Sb 0.296 0.704 0.113
Sb 0.704 0.296 0.613
Pb 0.373 0.627 0.766
Pb 0.387 0.613 0.414
Pb 0.613 0.387 0.914
Pb 0.627 0.373 0.266
S 0.013 0.987 0.835
S 0.155 0.845 0.092
S 0.172 0.828 0.443
S 0.210 0.790 0.751
S 0.481 0.519 0.076
S 0.519 0.481 0.576
S 0.790 0.210 0.251
S 0.828 0.172 0.943
S 0.845 0.155 0.592
S 0.987 0.013 0.335
CELL_PARAMETERS angstrom
2.113 -8.803 0.000
2.113 8.803 0.000
0.000 0.000 12.177

Record 13
! LaPrSn2 GGA-PBE relaxed; values from VASP
! Total moment = 0.00 μB per atom
! ρ = 7.2 g/cm³
! D(E_F) = 1.017 states/eV/atom
! SG = No. 123
! ΔH_f (0 K) = -0.700 eV per atom
&SYSTEM
  ibrav = 0, nat = 4, ntyp = 3
/
ATOMIC_SPECIES
La 138.91 La.upf
Pr 140.91 Pr.upf
Sn 118.71 Sn.upf
ATOMIC_POSITIONS crystal
La 0.000 0.000 0.000
Pr 0.500 0.500 0.000
Sn 0.000 0.500 0.500
Sn 0.500 0.000 0.500
CELL_PARAMETERS angstrom
5.090 0.000 0.000
0.000 5.090 0.000
0.000 0.000 4.580

Record 14
! Er3TmRu3 GGA-PBE relaxed; values from VASP
! Total moment = 0.00 μB per atom
! ρ = 10.6 g/cm³
! D(E_F) = 0.531 states/eV/atom
! SG = No. 12
! Offset from the most stable computed form = 23 meV/atom
! ΔH_f (0 K) = -0.401 eV per atom
&SYSTEM
  ibrav = 0, nat = 14, ntyp = 3
/
ATOMIC_SPECIES
Er 167.26 Er.upf
Tm 168.93 Tm.upf
Ru 101.07 Ru.upf
ATOMIC_POSITIONS crystal
Er 0.245 0.755 0.000
Er 0.246 0.246 0.001
Er 0.247 0.753 0.500
Er 0.753 0.247 0.500
Er 0.754 0.754 0.999
Er 0.755 0.245 0.000
Tm 0.243 0.243 0.501
Tm 0.757 0.757 0.499
Ru 0.000 0.000 0.250
Ru 0.000 0.000 0.750
Ru 0.000 0.500 0.251
Ru 0.000 0.500 0.749
Ru 0.500 0.000 0.251
Ru 0.500 0.000 0.749
CELL_PARAMETERS angstrom
4.787 -4.768 0.000
4.787 4.768 0.000
-0.010 0.000 6.678

Record 15
! TiMnCrMo GGA-PBE relaxed; values from VASP
! Total moment = 0.00 μB per atom
! ρ = 7.8 g/cm³
! D(E_F) = 0.747 states/eV/atom
! SG = No. 216
! ΔH_f (0 K) = -0.116 eV per atom
&SYSTEM
  ibrav = 0, nat = 4, ntyp = 4
/
ATOMIC_SPECIES
Ti 47.87 Ti.upf
Mn 54.94 Mn.upf
Cr 52.00 Cr.upf
Mo 95.94 Mo.upf
ATOMIC_POSITIONS crystal
Ti 0.000 0.000 0.000
Mn 0.250 0.250 0.250
Cr 0.750 0.750 0.750
Mo 0.500 0.500 0.500
CELL_PARAMETERS angstrom
0.000 2.994 2.994
2.994 0.000 2.994
2.994 2.994 0.000

Record 16
! LaPr2Nd4Er GGA-PBE relaxed; values from VASP
! Total moment = 0.00 μB per atom
! ρ = 6.9 g/cm³
! D(E_F) = 1.622 states/eV/atom
! SG = No. 10
! ΔH_f (0 K) = 0.017 eV per atom
&SYSTEM
  ibrav = 0, nat = 8, ntyp = 4
/
ATOMIC_SPECIES
La 138.91 La.upf
Pr 140.91 Pr.upf
Nd 144.24 Nd.upf
Er 167.26 Er.upf
ATOMIC_POSITIONS crystal
La 0.000 0.000 0.000
Pr 0.000 0.500 0.500
Pr 0.500 0.000 0.500
Nd 0.250 0.000 0.753
Nd 0.252 0.500 0.249
Nd 0.748 0.500 0.751
Nd 0.750 0.000 0.247
Er 0.500 0.500 0.000
CELL_PARAMETERS angstrom
6.336 0.000 0.000
0.000 3.688 0.000
-2.182 0.000 12.042

Record 17
! ScRe3O GGA-PBE relaxed; values from VASP
! Total moment = 0.57 μB per atom
! ρ = 10.3 g/cm³
! ΔE_f (raw) = 3.24 eV per atom
! D(E_F) = 1.555 states/eV/atom
! SG = No. 221
! Offset from the most stable computed form = 3003 meV/atom
&SYSTEM
  ibrav = 0, nat = 5, ntyp = 3
/
ATOMIC_SPECIES
Sc 44.96 Sc.upf
Re 186.21 Re.upf
O 16.00 O.upf
ATOMIC_POSITIONS crystal
Sc 0.000 0.000 0.000
Re 0.000 0.000 0.500
Re 0.000 0.500 0.000
Re 0.500 0.000 0.000
O 0.500 0.500 0.500
CELL_PARAMETERS angstrom
4.635 0.000 0.000
0.000 4.635 0.000
0.000 0.000 4.635

Record 18
! Rb2CeCl2F4 GGA-PBE relaxed; values from VASP
! Total moment = 0.02 μB per atom
! ρ = 3.2 g/cm³
! ΔE_f (raw) = -2.88 eV per atom
! D(E_F) = 0.000 states/eV/atom
! SG = No. 139
&SYSTEM
  ibrav = 0, nat = 9, ntyp = 4
/
ATOMIC_SPECIES
Rb 85.47 Rb.upf
Ce 140.12 Ce.upf
Cl 35.45 Cl.upf
F 19.00 F.upf
ATOMIC_POSITIONS crystal
Rb 0.250 0.750 0.500
Rb 0.750 0.250 0.500
Ce 0.000 0.000 0.000
Cl 0.274 0.274 0.000
Cl 0.726 0.726 0.000
F 0.217 0.217 0.434
F 0.217 0.783 0.000
F 0.783 0.217 0.000
F 0.783 0.783 0.566
CELL_PARAMETERS angstrom
-3.480 3.480 4.886
3.480 -3.480 4.886
3.480 3.480 -4.886

Record 19
! Sm4Ho6Tm GGA-PBE relaxed; values from VASP
! Total moment = 0.00 μB per atom
! ρ = 7.9 g/cm³
! D(E_F) = 1.249 states/eV/atom
! SG = No. 121
! Offset from the most stable computed form = 135 meV/atom
! ΔH_f (0 K) = 0.299 eV per atom
&SYSTEM
  ibrav = 0, nat = 11, ntyp = 3
/
ATOMIC_SPECIES
Sm 150.36 Sm.upf
Ho 164.93 Ho.upf
Tm 168.93 Tm.upf
ATOMIC_POSITIONS crystal
Sm 0.137 0.137 0.623
Sm 0.486 0.863 0.000
Sm 0.514 0.514 0.377
Sm 0.863 0.486 0.000
Ho 0.000 0.500 0.500
Ho 0.051 0.694 0.000
Ho 0.306 0.306 0.357
Ho 0.500 0.000 0.500
Ho 0.694 0.051 0.000
Ho 0.949 0.949 0.643
Tm 0.500 0.500 0.000
CELL_PARAMETERS angstrom
-3.294 3.294 8.496
3.294 -3.294 8.496
3.294 3.294 -8.496

Record 20
! LiAcBiTe GGA-PBE relaxed; values from VASP
! Total moment = 0.00 μB per atom
! ρ = 7.8 g/cm³
! ΔE_f (raw) = -0.89 eV per atom
! D(E_F) = 0.072 states/eV/atom
! SG = No. 129
&SYSTEM
  ibrav = 0, nat = 8, ntyp = 4
/
ATOMIC_SPECIES
Li 6.94 Li.upf
Ac 227.00 Ac.upf
Bi 208.98 Bi.upf
Te 127.60 Te.upf
ATOMIC_POSITIONS crystal
Li 0.250 0.750 0.000
Li 0.750 0.250 0.000
Ac 0.250 0.250 0.269
Ac 0.750 0.750 0.731
Bi 0.250 0.250 0.841
Bi 0.750 0.750 0.159
Te 0.250 0.750 0.500
Te 0.750 0.250 0.500
CELL_PARAMETERS angstrom
4.661 0.000 0.000
0.000 4.661 0.000
0.000 0.000 11.112

Record 21
! BiPbBr2 GGA-PBE relaxed; values from VASP
! Total moment = 0.00 μB per atom
! ρ = 7.5 g/cm³
! ΔE_f (raw) = -0.35 eV per atom
! D(E_F) = 0.406 states/eV/atom
! SG = No. 166
! Offset from the most stable computed form = 0 meV/atom
&SYSTEM
  ibrav = 0, nat = 4, ntyp = 3
/
ATOMIC_SPECIES
Bi 208.98 Bi.upf
Pb 207.20 Pb.upf
Br 79.90 Br.upf
ATOMIC_POSITIONS crystal
Bi 0.000 0.000 0.000
Pb 0.500 0.500 0.500
Br 0.090 0.090 0.090
Br 0.910 0.910 0.910
CELL_PARAMETERS angstrom
1.862 1.075 10.675
-1.862 1.075 10.675
0.000 -2.150 10.675

Record 22
! B3SeI GGA-PBE relaxed; values from VASP
! Total moment = 0.00 μB per atom
! ρ = 4.9 g/cm³
! ΔE_f (raw) = 2.04 eV per atom
! D(E_F) = 0.527 states/eV/atom
! SG = No. 221
! Offset from the most stable computed form = 0 meV/atom
&SYSTEM
  ibrav = 0, nat = 5, ntyp = 3
/
ATOMIC_SPECIES
B 10.81 B.upf
Se 78.96 Se.upf
I 126.90 I.upf
ATOMIC_POSITIONS crystal
B 0.000 0.000 0.500
B 0.000 0.500 0.000
B 0.500 0.000 0.000
Se 0.000 0.000 0.000
I 0.500 0.500 0.500
CELL_PARAMETERS angstrom
4.334 0.000 0.000
0.000 4.334 0.000
0.000 0.000 4.334

Record 23
! CePaAgGe GGA-PBE relaxed; values from VASP
! Total moment = 0.78 μB per atom
! ρ = 9.5 g/cm³
! D(E_F) = 3.342 states/eV/atom
! SG = No. 216
! ΔH_f (0 K) = -0.089 eV per atom
&SYSTEM
  ibrav = 0, nat = 4, ntyp = 4
/
ATOMIC_SPECIES
Ce 140.12 Ce.upf
Pa 231.04 Pa.upf
Ag 107.87 Ag.upf
Ge 72.64 Ge.upf
ATOMIC_POSITIONS crystal
Ce 0.000 0.000 0.000
Pa 0.500 0.500 0.500
Ag 0.750 0.750 0.750
Ge 0.250 0.250 0.250
CELL_PARAMETERS angstrom
0.000 3.637 3.637
3.637 0.000 3.637
3.637 3.637 0.000

Record 24
! Y5Si2Hg GGA-PBE relaxed; values from VASP
! Total moment = 0.00 μB per atom
! ρ = 5.7 g/cm³
! ΔE_f (raw) = -0.62 eV per atom
! D(E_F) = 0.810 states/eV/atom
! SG = No. 140
&SYSTEM
  ibrav = 0, nat = 16, ntyp = 3
/
ATOMIC_SPECIES
Y 88.91 Y.upf
Si 28.09 Si.upf
Hg 200.59 Hg.upf
ATOMIC_POSITIONS crystal
Y 0.000 0.000 0.000
Y 0.030 0.530 0.840
Y 0.190 0.030 0.500
Y 0.310 0.810 0.840
Y 0.470 0.310 0.500
Y 0.500 0.500 0.000
Y 0.530 0.690 0.500
Y 0.690 0.190 0.160
Y 0.810 0.970 0.500
Y 0.970 0.470 0.160
Si 0.126 0.374 0.500
Si 0.374 0.874 0.248
Si 0.626 0.126 0.752
Si 0.874 0.626 0.500
Hg 0.250 0.250 0.000
Hg 0.750 0.750 0.000
CELL_PARAMETERS angstrom
-3.799 3.799 7.102
3.799 -3.799 7.102
3.799 3.799 -7.102